The following is a PBE with a Hubbard U calculation of crystalline Cr3Cd3CuO8 at its relaxed geometry, from the Alexandria database.

The density is 6.378 g/cm³. As for the total energy: -5.81 eV/atom.

The space group is C2/m (No. 12) and the conventional cell measures 10.592, 6.216 and 6.517 Å, with angles of 90.00, 123.80 and 90.00 degrees. The inequivalent atoms are Cr at (0.000, 0.000, 0.000), Cr at (0.250, 0.250, 0.000), Cd at (0.000, 0.500, 0.500), Cd at (0.250, 0.250, 0.500), Cu at (0.000, 0.500, 0.000), O at (0.015, 0.237, 0.789), O at (0.230, 0.500, 0.194) and O at (0.234, 0.000, 0.195).